No. 1
{
  "formula": "Tc2Ni3B2",
  "functional": "PBE-GGA",
  "state": "optimized geometry",
  "cell": [[1.4946, -7.8282, 0.0000], [1.4946, 7.8282, 0.0000], [0.0000, 0.0000, 3.1288]],
  "species": ["Tc", "Tc", "Ni", "Ni", "Ni", "B", "B"],
  "frac_coords": [[0.1747, 0.8253, 0.0000], [0.8253, 0.1747, 0.0000], [0.0000, 0.0000, 0.0000], [0.4219, 0.5781, 0.5000], [0.5781, 0.4219, 0.5000], [0.2838, 0.7162, 0.5000], [0.7162, 0.2838, 0.5000]],
  "ef_ev_per_atom": -0.160,
  "spacegroup": "No. 65"
}

No. 2
{
  "formula": "TcNi2B2",
  "functional": "PBE-GGA",
  "state": "optimized geometry",
  "cell": [[6.1131, 0.0000, 0.0000], [0.0000, 6.1131, 0.0000], [0.0000, 0.0000, 2.5068]],
  "species": ["Tc", "Tc", "Ni", "Ni", "Ni", "Ni", "B", "B", "B", "B"],
  "frac_coords": [[0.0000, 0.0000, 0.0000], [0.5000, 0.5000, 0.0000], [0.1460, 0.3540, 0.5000], [0.3540, 0.8540, 0.5000], [0.6460, 0.1460, 0.5000], [0.8540, 0.6460, 0.5000], [0.1490, 0.6490, 0.0000], [0.3510, 0.1490, 0.0000], [0.6490, 0.8510, 0.0000], [0.8510, 0.3510, 0.0000]],
  "ef_ev_per_atom": -0.066,
  "spacegroup": "No. 127"
}

No. 3
{
  "formula": "TcNi3B",
  "functional": "PBE-GGA",
  "state": "optimized geometry",
  "cell": [[4.4493, 0.0000, 0.0000], [0.0000, 4.4493, 0.0000], [0.0000, 0.0000, 4.4493]],
  "species": ["Tc", "Ni", "Ni", "Ni", "B"],
  "frac_coords": [[0.0000, 0.0000, 0.0000], [0.0000, 0.0000, 0.5000], [0.0000, 0.5000, 0.0000], [0.5000, 0.0000, 0.0000], [0.5000, 0.5000, 0.5000]],
  "ef_ev_per_atom": 2.138,
  "spacegroup": "No. 221"
}

| no. | DOS(E_F) (states/eV/cell) | volume (A^3/atom) |
| --- | --- | --- |
| 1 | 8.37 | 10.459 |
| 2 | 5.26 | 9.368 |
| 3 | 5.84 | 17.615 |